[1]
Sm8Te2C3 | PBE | optimized geometry

## Properties
**Total DFT energy (no corrections)**: -6.02 eV/atom
**Offset from the most stable computed form**: 0 meV/atom
**SG**: C2/m (12)
**Energy relative to the elements, uncorrected**: -0.51 eV per atom

```
Sm8Te2C3
1.0
7.679 -3.725 0.000
7.679 3.725 0.000
-1.800 0.000 6.312
Sm Te C
8 2 3
direct
0.092 0.092 0.393
0.148 0.667 0.113
0.333 0.852 0.887
0.407 0.407 0.588
0.593 0.593 0.412
0.667 0.148 0.113
0.852 0.333 0.887
0.908 0.908 0.607
0.253 0.253 0.823
0.747 0.747 0.177
0.000 0.000 0.000
0.248 0.752 0.500
0.752 0.248 0.500
```

***

[2]
Sm5Te2C2 | PBE | optimized geometry

## Properties
**Total DFT energy (no corrections)**: -5.94 eV/atom
**SG**: Ima2 (46)
**Energy relative to the elements, uncorrected**: -0.57 eV per atom

```
Sm5Te2C2
1.0
-9.030 3.924 3.407
9.030 -3.924 3.407
9.030 3.924 -3.407
Sm Te C
10 4 4
direct
0.019 0.911 0.608
0.246 0.022 0.268
0.246 0.478 0.723
0.304 0.411 0.392
0.667 0.091 0.296
0.667 0.871 0.077
0.754 0.522 0.277
0.754 0.978 0.732
0.795 0.371 0.704
0.795 0.591 0.923
0.217 0.369 0.060
0.217 0.658 0.348
0.309 0.158 0.940
0.309 0.869 0.652
0.732 0.568 0.664
0.760 0.260 0.500
0.760 0.760 0.000
0.904 0.068 0.336
```

***

[3]
Sm6Te5C | PBE | optimized geometry

## Properties
**Total DFT energy (no corrections)**: -5.66 eV/atom
**SG**: C2/m (12)
**Energy relative to the elements, uncorrected**: -1.22 eV per atom

```
Sm6Te5C
1.0
3.799 -6.522 0.000
3.799 6.522 0.000
-2.471 0.000 7.039
Sm Te C
6 5 1
direct
0.070 0.352 0.713
0.206 0.206 0.274
0.352 0.070 0.713
0.648 0.930 0.287
0.794 0.794 0.726
0.930 0.648 0.287
0.180 0.820 0.000
0.336 0.664 0.500
0.500 0.500 0.000
0.664 0.336 0.500
0.820 0.180 0.000
0.000 0.000 0.500
```

***

[4]
Sm6TeC3 | PBE | optimized geometry

## Properties
**Total DFT energy (no corrections)**: -6.31 eV/atom
**SG**: P2_1/m (11)
**Energy relative to the elements, uncorrected**: -0.39 eV per atom

```
Sm6TeC3
1.0
11.481 0.000 0.000
0.000 3.768 0.000
-3.583 0.000 10.922
Sm Te C
12 2 6
direct
0.035 0.250 0.376
0.152 0.750 0.129
0.255 0.250 0.666
0.315 0.750 0.430
0.367 0.750 0.946
0.453 0.250 0.242
0.547 0.750 0.758
0.633 0.250 0.054
0.685 0.250 0.570
0.745 0.750 0.334
0.848 0.250 0.871
0.965 0.750 0.624
0.118 0.250 0.874
0.882 0.750 0.126
0.149 0.750 0.527
0.240 0.250 0.274
0.461 0.250 0.856
0.539 0.750 0.144
0.760 0.750 0.726
0.851 0.250 0.473
```

***

[5]
Sm4TeC | PBE | optimized geometry

## Properties
**Total DFT energy (no corrections)**: -5.69 eV/atom
**Offset from the most stable computed form**: 0 meV/atom
**SG**: C2/c (15)
**Energy relative to the elements, uncorrected**: -0.49 eV per atom

```
Sm4TeC
1.0
4.295 -7.192 0.000
4.295 7.192 0.000
-3.494 0.000 5.480
Sm Te C
8 2 2
direct
0.062 0.658 0.842
0.160 0.261 0.701
0.261 0.160 0.201
0.342 0.938 0.658
0.658 0.062 0.342
0.739 0.840 0.799
0.840 0.739 0.299
0.938 0.342 0.158
0.390 0.610 0.250
0.610 0.390 0.750
0.068 0.932 0.750
0.932 0.068 0.250
```

***

[6]
Sm7Te2C2 | PBE | optimized geometry

## Properties
**Total DFT energy (no corrections)**: -5.59 eV/atom
**SG**: C2/m (12)
**Energy relative to the elements, uncorrected**: -0.34 eV per atom

```
Sm7Te2C2
1.0
3.991 -5.882 0.000
3.991 5.882 0.000
-1.129 0.000 7.699
Sm Te C
7 2 2
direct
0.000 0.000 0.000
0.070 0.455 0.788
0.413 0.413 0.190
0.455 0.070 0.788
0.545 0.930 0.212
0.587 0.587 0.810
0.930 0.545 0.212
0.315 0.685 0.500
0.685 0.315 0.500
0.288 0.288 0.881
0.712 0.712 0.119
```

***

- Number 1 is which compound?
  Sm8Te2C3